LiCdTc | GGA-PBE | relaxed

Cell and atoms, written as extended XYZ:
```
3
Lattice="2.7838 0.0000 0.0000 -1.3919 2.4108 0.0000 0.0000 0.0000 7.3351" Properties=species:S:1:pos:R:3 pbc="T T T"
Cd 0.0000 0.0000 0.0129
Li 1.3919 0.8036 2.5277
Tc 0.0000 1.6072 4.7945
```

Properties
- energy above the most stable polymorph in this dataset (meV/atom) = 0
- formation enthalpy at 0 K (eV per atom) = 0.268
- DOS at the Fermi energy (states/eV per atom) = 0.74